First-principles (GGA-PBE) data for an optimized crystal structure of AcLa2O, as listed in Alexandria via LeMat-Bulk.

Summary:
Fermi-level density of states: 1.386 states/eV/atom
raw total energy: -6.01 eV/atom
crystal system: trigonal

Cell lengths 3.8250, 3.8250, 27.9995 Å; angles 90.00, 90.00, 120.00 degrees
Space group R-3m (No. 166, hexagonal axes)
One atom of each set of equivalent atoms:
Ac1 0.0000 0.0000 0.0000 (multiplicity 3)
La1 0.0000 0.0000 0.2167 (multiplicity 6)
O1 0.0000 0.0000 0.5000 (multiplicity 3)